No. 1
The following is a DFT calculation (PBE) of a geometry-optimized KReB structure.

Cell lengths 6.6321, 6.6321, 6.6321 Å; angles 90.00, 90.00, 90.00 degrees
With the nearest neighbours (Å) after each atom.
Fractional coordinates of all 12 atoms:
K1 0.0000 0.0000 0.0000  4 Re 2.87, 4 B 2.87
K2 0.0000 0.5000 0.5000  4 Re 2.87, 4 B 2.87
K3 0.5000 0.0000 0.5000  4 Re 2.87, 4 B 2.87
K4 0.5000 0.5000 0.0000  4 B 2.87, 4 Re 2.87
Re1 0.2500 0.2500 0.2500  4 K 2.87
Re2 0.2500 0.7500 0.7500  4 K 2.87
Re3 0.7500 0.2500 0.7500  4 K 2.87
Re4 0.7500 0.7500 0.2500  4 K 2.87
B1 0.2500 0.2500 0.7500  4 K 2.87
B2 0.2500 0.7500 0.2500  4 K 2.87
B3 0.7500 0.2500 0.2500  4 K 2.87
B4 0.7500 0.7500 0.7500  4 K 2.87

energy above the most stable polymorph in this dataset = 1188.2 meV/atom

=====

No. 2
The following is a DFT calculation (PBE) of a geometry-optimized HoTm2In3Pt2Au structure.

Cell lengths 3.7603, 7.7607, 7.7607 Å; angles 120.10, 90.00, 90.00 degrees
With the nearest neighbours (Å) after each atom.
Fractional coordinates of all 9 atoms:
Ho1 0.0000 0.0000 0.0000  4 Pt 3.02, 6 In 3.13-3.36, 1 Au 3.16
Tm1 0.0000 0.4072 0.8146  4 Pt 3.00-3.01, 6 In 3.13-3.36, 1 Au 3.16
Tm2 0.0000 0.8146 0.4072  4 Pt 3.00-3.01, 6 In 3.13-3.36, 1 Au 3.16
In1 0.5000 0.1371 0.4077  2 Au 2.82, 2 Pt 2.85-2.87, 2 Tm 3.13
In2 0.5000 0.4077 0.1371  2 Au 2.82, 2 Pt 2.85-2.87, 2 Tm 3.13
In3 0.5000 0.6768 0.6768  2 Au 2.81, 2 Pt 2.87, 2 Ho 3.13
Pt1 0.5000 0.0743 0.7393  3 In 2.85-2.87, 4 Tm 3.00-3.01, 2 Ho 3.02
Pt2 0.5000 0.7393 0.0743  3 In 2.85-2.87, 4 Tm 3.00-3.01, 2 Ho 3.02
Au1 0.0000 0.4077 0.4077  6 In 2.81-2.82

=====

No. 3
The following is a DFT calculation (PBE) of a geometry-optimized Y5Pt4 structure.

Cell lengths 7.5015, 14.6400, 7.5809 Å; angles 90.00, 90.00, 90.00 degrees
With the nearest neighbours (Å) after each atom.
Fractional coordinates of all 36 atoms:
Y1 0.0015 0.0927 0.1800  6 Pt 2.96-3.28
Y2 0.0015 0.4073 0.1800  6 Pt 2.96-3.28
Y3 0.1569 0.1225 0.6668  6 Pt 2.83-3.00
Y4 0.1569 0.3775 0.6668  6 Pt 2.83-3.00
Y5 0.1807 0.7500 0.5118  5 Pt 2.81-3.07
Y6 0.3193 0.2500 0.0118  5 Pt 2.81-3.07
Y7 0.3431 0.6225 0.1668  6 Pt 2.83-3.00
Y8 0.3431 0.8775 0.1668  6 Pt 2.83-3.00
Y9 0.4985 0.5927 0.6800  6 Pt 2.96-3.28
Y10 0.4985 0.9073 0.6800  6 Pt 2.96-3.28
Y11 0.5015 0.0927 0.3200  6 Pt 2.96-3.28
Y12 0.5015 0.4073 0.3200  6 Pt 2.96-3.28
Y13 0.6569 0.1225 0.8332  6 Pt 2.83-3.00
Y14 0.6569 0.3775 0.8332  6 Pt 2.83-3.00
Y15 0.6807 0.7500 0.9882  5 Pt 2.81-3.07
Y16 0.8193 0.2500 0.4882  5 Pt 2.81-3.07
Y17 0.8431 0.6225 0.3332  6 Pt 2.83-3.00
Y18 0.8431 0.8775 0.3332  6 Pt 2.83-3.00
Y19 0.9985 0.5927 0.8200  6 Pt 2.96-3.28
Y20 0.9985 0.9073 0.8200  6 Pt 2.96-3.28
Pt1 0.0464 0.7500 0.1112  1 Pt 2.78, 5 Y 2.90-2.94
Pt2 0.1836 0.5413 0.4667  6 Y 2.83-3.11, 1 Pt 3.05
Pt3 0.1836 0.9587 0.4667  6 Y 2.83-3.11, 1 Pt 3.05
Pt4 0.1851 0.2500 0.3581  1 Pt 2.78, 6 Y 2.81-3.00
Pt5 0.3149 0.7500 0.8581  1 Pt 2.78, 6 Y 2.81-3.00
Pt6 0.3164 0.0413 0.9667  6 Y 2.83-3.11, 1 Pt 3.05
Pt7 0.3164 0.4587 0.9667  6 Y 2.83-3.11, 1 Pt 3.05
Pt8 0.4536 0.2500 0.6112  1 Pt 2.78, 5 Y 2.90-2.94
Pt9 0.5464 0.7500 0.3888  1 Pt 2.78, 5 Y 2.90-2.94
Pt10 0.6836 0.5413 0.0333  6 Y 2.83-3.11, 1 Pt 3.05
Pt11 0.6836 0.9587 0.0333  6 Y 2.83-3.11, 1 Pt 3.05
Pt12 0.6851 0.2500 0.1419  1 Pt 2.78, 6 Y 2.81-3.00
Pt13 0.8149 0.7500 0.6419  1 Pt 2.78, 6 Y 2.81-3.00
Pt14 0.8164 0.0413 0.5333  6 Y 2.83-3.11, 1 Pt 3.05
Pt15 0.8164 0.4587 0.5333  6 Y 2.83-3.11, 1 Pt 3.05
Pt16 0.9536 0.2500 0.8888  1 Pt 2.78, 5 Y 2.90-2.94

formation enthalpy at 0 K = -1.14 eV/atom

=====

No. 4
The following is a DFT calculation (PBE) of a geometry-optimized NaCdTc structure.

Cell lengths 6.6085, 6.6085, 6.6085 Å; angles 90.00, 90.00, 90.00 degrees
With the nearest neighbours (Å) after each atom.
Fractional coordinates of all 12 atoms:
Na1 0.0000 0.0000 0.0000  4 Tc 2.86
Na2 0.0000 0.5000 0.5000  4 Tc 2.86
Na3 0.5000 0.0000 0.5000  4 Tc 2.86
Na4 0.5000 0.5000 0.0000  4 Tc 2.86
Cd1 0.0000 0.0000 0.5000  4 Tc 2.86
Cd2 0.0000 0.5000 0.0000  4 Tc 2.86
Cd3 0.5000 0.0000 0.0000  4 Tc 2.86
Cd4 0.5000 0.5000 0.5000  4 Tc 2.86
Tc1 0.2500 0.2500 0.7500  4 Cd 2.86, 4 Na 2.86
Tc2 0.2500 0.7500 0.2500  4 Cd 2.86, 4 Na 2.86
Tc3 0.7500 0.2500 0.2500  4 Cd 2.86, 4 Na 2.86
Tc4 0.7500 0.7500 0.7500  4 Cd 2.86, 4 Na 2.86

=====

No. 5
The following is a DFT calculation (PBE) of a geometry-optimized Ta4Nb2Sb3N3 structure.

Cell lengths 5.8208, 5.8208, 13.3649 Å; angles 102.19, 102.19, 59.80 degrees
With the nearest neighbours (Å) after each atom.
Fractional coordinates of all 24 atoms:
Ta1 0.0089 0.2071 0.0801  3 N 2.16-2.21
Ta2 0.1566 0.3060 0.4200  3 N 2.15-2.20
Ta3 0.2071 0.0089 0.5801  3 N 2.16-2.21
Ta4 0.3060 0.1566 0.9200  3 N 2.15-2.20
Ta5 0.6940 0.8434 0.0800  3 N 2.15-2.20
Ta6 0.7929 0.9911 0.4199  3 N 2.16-2.21
Ta7 0.8434 0.6940 0.5800  3 N 2.15-2.20
Ta8 0.9911 0.7929 0.9199  3 N 2.16-2.21
Nb1 0.3731 0.5314 0.0872  3 N 2.27-2.31
Nb2 0.4686 0.6269 0.4128  3 N 2.27-2.31
Nb3 0.5314 0.3731 0.5872  3 N 2.27-2.31
Nb4 0.6269 0.4686 0.9128  3 N 2.27-2.31
Sb1 0.0770 0.9230 0.2500  2 Nb 2.90, 4 Ta 2.93-2.97
Sb2 0.2454 0.4151 0.7492  2 Nb 2.86-2.90, 4 Ta 2.86-2.97
Sb3 0.4151 0.2454 0.2492  2 Nb 2.86-2.90, 4 Ta 2.86-2.97
Sb4 0.5849 0.7546 0.7508  2 Nb 2.86-2.90, 4 Ta 2.86-2.97
Sb5 0.7546 0.5849 0.2508  2 Nb 2.86-2.90, 4 Ta 2.86-2.97
Sb6 0.9230 0.0770 0.7500  2 Nb 2.90, 4 Ta 2.93-2.97
N1 0.0000 0.5000 0.0000  4 Ta 2.15-2.17, 2 Nb 2.31
N2 0.1486 0.6746 0.5002  4 Ta 2.16-2.21, 2 Nb 2.27-2.29
N3 0.3254 0.8514 0.9998  4 Ta 2.16-2.21, 2 Nb 2.27-2.29
N4 0.5000 0.0000 0.5000  4 Ta 2.15-2.17, 2 Nb 2.31
N5 0.6746 0.1486 0.0002  4 Ta 2.16-2.21, 2 Nb 2.27-2.29
N6 0.8514 0.3254 0.4998  4 Ta 2.16-2.21, 2 Nb 2.27-2.29

=====

No. 6
The following is a DFT calculation (PBE) of a geometry-optimized Li2Sc2Ga2IrPd structure.

Cell lengths 4.4633, 4.4633, 6.2973 Å; angles 90.00, 90.00, 90.00 degrees
With the nearest neighbours (Å) after each atom.
Fractional coordinates of all 8 atoms:
Li1 0.0000 0.0000 0.0000  4 Ga 2.70, 4 Sc 2.71
Li2 0.5000 0.5000 0.5000  4 Sc 2.75, 4 Ga 2.76
Sc1 0.0000 0.5000 0.2451  2 Ir 2.71, 4 Li 2.71-2.75, 2 Pd 2.75
Sc2 0.5000 0.0000 0.7549  2 Ir 2.71, 4 Li 2.71-2.75, 2 Pd 2.75
Ga1 0.0000 0.5000 0.7577  2 Ir 2.70, 4 Li 2.70-2.76, 2 Pd 2.76
Ga2 0.5000 0.0000 0.2423  4 Li 2.70-2.76, 2 Ir 2.70, 2 Pd 2.76
Ir1 0.5000 0.5000 0.0000  4 Ga 2.70, 4 Sc 2.71
Pd1 0.0000 0.0000 0.5000  4 Sc 2.75, 4 Ga 2.76

=====

| no. | VASP energy (eV per atom) | ρ (g/cm3) |
| --- | --- | --- |
| 1 | -3.275 | 5.38 |
| 2 | -5.035 | 12.16 |
| 3 | -7.426 | 9.77 |
| 4 | -3.002 | 5.37 |
| 5 | -9.139 | 11.52 |
| 6 | -5.238 | 7.17 |